No. 1
This record from Alexandria describes an optimized crystal structure of YMg2Be2. The functional is GGA-PBE.

abc: 7.5743 7.5743 3.2513
angles: 90.00 90.00 90.00
Fractional positions:
Y1 0.0000 0.0000 0.0000
Y2 0.5000 0.5000 0.0000
Mg1 0.1766 0.3234 0.5000
Mg2 0.3234 0.8234 0.5000
Mg3 0.6766 0.1766 0.5000
Mg4 0.8234 0.6766 0.5000
Be1 0.1087 0.6087 0.0000
Be2 0.3913 0.1087 0.0000
Be3 0.6087 0.8913 0.0000
Be4 0.8913 0.3913 0.0000

The formation energy comes out at 0.289 eV per atom. As for the space group: P4/mbm (127). For the density of states at the Fermi level, the calculation gives 0.71 states/eV/atom. As for the calculated density: 2.77 g/cm³. The calculation puts the final energy at -3.13 eV per atom. The spin magnetization comes out at 0.0 μB/cell. The polymorph energy (0 for the lowest one) comes out at 9 meV per atom.

***

No. 2
This record from Alexandria describes an optimized crystal structure of NpGaCoIr. The functional is GGA-PBE.

abc: 4.5388 4.5388 4.5388
angles: 60.00 60.00 60.00
Fractional positions:
Np1 0.0000 0.0000 0.0000
Ga1 0.5000 0.5000 0.5000
Co1 0.2500 0.2500 0.2500
Ir1 0.7500 0.7500 0.7500

The formation energy comes out at -0.198 eV per atom. As for the space group: F-43m (216). For the density of states at the Fermi level, the calculation gives 1.52 states/eV/atom. As for the calculated density: 14.01 g/cm³. The calculation puts the final energy at -8.18 eV per atom. The spin magnetization comes out at 2.1 μB/cell.

***

No. 3
This record from Alexandria describes an optimized crystal structure of Sr2Cd5Ag12. The functional is GGA-PBE.

abc: 7.4840 7.4840 7.4840
angles: 82.90 82.90 82.90
Fractional positions:
Sr1 0.1510 0.1510 0.1510
Sr2 0.8490 0.8490 0.8490
Cd1 0.0000 0.5000 0.5000
Cd2 0.3994 0.3994 0.3994
Cd3 0.5000 0.0000 0.5000
Cd4 0.5000 0.5000 0.0000
Cd5 0.6006 0.6006 0.6006
Ag1 0.1524 0.1524 0.6571
Ag2 0.1524 0.6571 0.1524
Ag3 0.1938 0.5000 0.8062
Ag4 0.1938 0.8062 0.5000
Ag5 0.3429 0.8476 0.8476
Ag6 0.5000 0.1938 0.8062
Ag7 0.5000 0.8062 0.1938
Ag8 0.6571 0.1524 0.1524
Ag9 0.8062 0.1938 0.5000
Ag10 0.8062 0.5000 0.1938
Ag11 0.8476 0.3429 0.8476
Ag12 0.8476 0.8476 0.3429

The formation energy comes out at -0.142 eV per atom. As for the space group: R-3m (166). For the density of states at the Fermi level, the calculation gives 0.13 states/eV/atom. As for the calculated density: 8.22 g/cm³. The calculation puts the final energy at -2.36 eV per atom. The spin magnetization comes out at 0.0 μB/cell.

***

Q: The highest calculated density belongs to which entry?
A: NpGaCoIr